# 1
Material: Ac6Te5Pb
Method: DFT, PBE
State: relaxed

- VASP energy: -5.042 eV/atom
- Crystal system: monoclinic

a = 8.2412 Å, b = 8.2412 Å, c = 8.2670 Å
α = 99.53°, β = 99.53°, γ = 119.91°
Sites, in units of the cell vectors:
Ac 0.0822 0.4115 0.7472
Ac 0.2466 0.2466 0.2517
Ac 0.4115 0.0822 0.7472
Ac 0.5885 0.9178 0.2528
Ac 0.7534 0.7534 0.7483
Ac 0.9178 0.5885 0.2528
Te 0.1679 0.8321 0.0000
Te 0.3333 0.6667 0.5000
Te 0.5000 0.5000 0.0000
Te 0.6667 0.3333 0.5000
Te 0.8321 0.1679 0.0000
Pb 0.0000 0.0000 0.5000

---

# 2
Material: Cs2ErAg3F12
Method: DFT, PBE
State: relaxed

- VASP energy: -4.237 eV/atom
- Crystal system: trigonal

a = 8.1265 Å, b = 8.1265 Å, c = 8.1265 Å
α = 58.54°, β = 58.54°, γ = 58.54°
Sites, in units of the cell vectors:
Cs 0.1259 0.1259 0.1259
Cs 0.8741 0.8741 0.8741
Er 0.5000 0.5000 0.5000
Ag 0.0000 0.5000 0.5000
Ag 0.5000 0.0000 0.5000
Ag 0.5000 0.5000 0.0000
F 0.1747 0.5796 0.5796
F 0.1851 0.1851 0.5727
F 0.1851 0.5727 0.1851
F 0.4204 0.4204 0.8253
F 0.4204 0.8253 0.4204
F 0.4273 0.8149 0.8149
F 0.5727 0.1851 0.1851
F 0.5796 0.1747 0.5796
F 0.5796 0.5796 0.1747
F 0.8149 0.4273 0.8149
F 0.8149 0.8149 0.4273
F 0.8253 0.4204 0.4204

---

| no. | formation energy without anion corrections (eV per atom) |
| --- | --- |
| 1 | -1.37 |
| 2 | -2.17 |